Entry 1:
Compound: BeAlNi2
Source: Alexandria via LeMat-Bulk
Functional: PBE
Structure: relaxed

Cell lengths 7.489, 7.489, 7.489 Å; angles 20.29, 20.29, 20.29 degrees
Fractional positions:
Ni 0.494 0.494 0.494
Ni 0.006 0.006 0.006
Be 0.750 0.750 0.750
Al 0.250 0.250 0.250

Calculated values
- Size of the total moment: 0.0000 μB per atom
- ΔE_f: -98 kJ/mol of formula units

---

Entry 2:
Compound: BeAlNi2
Source: Alexandria via LeMat-Bulk
Functional: PBE
Structure: relaxed

Cell lengths 3.805, 2.945, 3.805 Å; angles 90.00, 90.00, 90.00 degrees
Fractional positions:
Ni 0.500 0.125 0.375
Al 0.000 0.625 0.375
Be 0.500 0.625 0.875
Ni 0.000 0.125 0.875

Calculated values
- Size of the total moment: 0.0000 μB per atom
- ΔE_f: -193 kJ/mol of formula units

---

Entry 3:
Compound: BeAlNi2
Source: Alexandria via LeMat-Bulk
Functional: PBE
Structure: relaxed

Cell lengths 2.647, 3.262, 5.069 Å; angles 90.00, 90.00, 90.00 degrees
Fractional positions:
Ni 0.500 0.500 0.253
Al 0.000 0.000 0.490
Ni 0.000 0.000 0.966
Be 0.500 0.500 0.791

Calculated values
- Size of the total moment: 0.0000 μB per atom
- ΔE_f: -127 kJ/mol of formula units

---

Entry 4:
Compound: BeAlNi2
Source: Alexandria via LeMat-Bulk
Functional: PBE
Structure: relaxed

Cell lengths 3.948, 3.948, 3.948 Å; angles 60.00, 60.00, 60.00 degrees
Fractional positions:
Ni 0.250 0.250 0.250
Ni 0.000 0.000 0.000
Al 0.500 0.500 0.500
Be 0.750 0.750 0.750

Calculated values
- Size of the total moment: 0.0000 μB per atom
- ΔE_f: -125 kJ/mol of formula units

---

Entry 5:
Compound: BeAlNi
Source: Alexandria via LeMat-Bulk
Functional: PBE
Structure: relaxed

Cell lengths 3.833, 3.833, 2.620 Å; angles 90.00, 90.00, 120.00 degrees
Fractional positions:
Al 0.000 0.000 0.000
Ni 0.333 0.667 0.503
Be 0.667 0.333 0.497

Calculated values
- ΔE to the lowest computed polymorph: 0.124 eV per atom
- Size of the total moment: 0.0000 μB per atom
- ΔE_f: -95 kJ/mol of formula units

---

Entry 6:
Compound: BeAlNi
Source: Alexandria via LeMat-Bulk
Functional: PBE
Structure: relaxed

Cell lengths 2.995, 3.808, 5.959 Å; angles 90.00, 104.58, 90.00 degrees
Fractional positions:
Al 0.084 0.250 0.168
Be 0.755 0.250 0.510
Ni 0.401 0.250 0.802
Be 0.245 0.750 0.490
Ni 0.599 0.750 0.198
Al 0.916 0.750 0.832

Calculated values
- ΔE to the lowest computed polymorph: 0.060 eV per atom
- Size of the total moment: 0.0000 μB per atom
- ΔE_f: -114 kJ/mol of formula units

---

Entry 7:
Compound: BeAlNi2
Source: Alexandria via LeMat-Bulk
Functional: PBE
Structure: relaxed

Cell lengths 7.890, 7.890, 7.890 Å; angles 18.92, 18.92, 18.92 degrees
Fractional positions:
Be 0.743 0.743 0.743
Ni 0.251 0.251 0.251
Ni 0.006 0.006 0.006
Al 0.500 0.500 0.500

Calculated values
- Size of the total moment: 0.0000 μB per atom
- ΔE_f: -26 kJ/mol of formula units

---

Entry 8:
Compound: Be4Al2Ni
Source: Alexandria via LeMat-Bulk
Functional: PBE
Structure: relaxed

Cell lengths 3.949, 3.949, 6.541 Å; angles 72.43, 72.43, 90.00 degrees
Fractional positions:
Be 0.824 0.824 0.352
Al 0.372 0.372 0.257
Al 0.628 0.628 0.743
Ni 0.000 0.000 0.000
Be 0.000 0.500 0.000
Be 0.500 0.000 0.000
Be 0.176 0.176 0.648

Calculated values
- Size of the total moment: 0.0000 μB per atom
- ΔE_f: 275 kJ/mol of formula units

---

Entry 9:
Compound: Be2AlNi
Source: Alexandria via LeMat-Bulk
Functional: PBE
Structure: relaxed

Cell lengths 3.875, 2.494, 4.408 Å; angles 82.34, 90.00, 90.00 degrees
Fractional positions:
Al 0.500 0.750 0.750
Be 0.000 0.046 0.028
Be 0.000 0.454 0.472
Ni 0.500 0.250 0.250

Calculated values
- Size of the total moment: 0.0000 μB per atom
- ΔE_f: -53 kJ/mol of formula units

---

Entry 10:
Compound: Be2AlNi
Source: Alexandria via LeMat-Bulk
Functional: PBE
Structure: relaxed

Cell lengths 3.622, 2.535, 4.666 Å; angles 73.61, 90.00, 90.00 degrees
Fractional positions:
Al 0.500 0.804 0.770
Be 0.500 0.063 0.255
Be 0.000 0.177 0.018
Ni 0.000 0.455 0.458

Calculated values
- Size of the total moment: 0.0000 μB per atom
- ΔE_f: -79 kJ/mol of formula units

---

Entry 11:
Compound: BeAlNi2
Source: Alexandria via LeMat-Bulk
Functional: PBE
Structure: relaxed

Cell lengths 3.518, 3.518, 8.241 Å; angles 77.68, 77.68, 90.00 degrees
Fractional positions:
Al 0.750 0.250 0.500
Be 0.500 0.500 0.000
Ni 0.598 0.125 0.250
Ni 0.152 0.625 0.250
Ni 0.375 0.402 0.750
Al 0.000 0.000 0.000
Ni 0.875 0.848 0.750
Be 0.250 0.750 0.500

Calculated values
- Size of the total moment: 0.0000 μB per atom
- ΔE_f: 28 kJ/mol of formula units

---

Entry 12:
Compound: BeAl3Ni
Source: Alexandria via LeMat-Bulk
Functional: PBE
Structure: relaxed

Cell lengths 4.216, 4.216, 4.216 Å; angles 90.00, 90.00, 90.00 degrees
Fractional positions:
Al 0.000 0.500 0.000
Ni 0.500 0.500 0.500
Al 0.000 0.000 0.500
Be 0.000 0.000 0.000
Al 0.500 0.000 0.000

Calculated values
- ΔE to the lowest computed polymorph: 0.149 eV per atom
- Size of the total moment: 0.0000 μB per atom
- ΔE_f: 230 kJ/mol of formula units

---

Entry 13:
Compound: BeAl4Ni
Source: Alexandria via LeMat-Bulk
Functional: PBE
Structure: relaxed

Cell lengths 5.074, 5.074, 5.074 Å; angles 60.00, 60.00, 60.00 degrees
Fractional positions:
Al 0.375 0.874 0.375
Ni 0.000 0.000 0.000
Al 0.375 0.375 0.375
Be 0.750 0.750 0.750
Al 0.874 0.375 0.375
Al 0.375 0.375 0.874

Calculated values
- Size of the total moment: 0.0000 μB per atom
- ΔE_f: 245 kJ/mol of formula units

---

Entry 14:
Compound: BeAl2Ni2
Source: Alexandria via LeMat-Bulk
Functional: PBE
Structure: relaxed

Cell lengths 6.655, 6.655, 2.798 Å; angles 90.00, 90.00, 90.00 degrees
Fractional positions:
Al 0.642 0.142 0.000
Al 0.358 0.858 0.000
Al 0.858 0.642 0.000
Ni 0.656 0.844 0.500
Ni 0.344 0.156 0.500
Al 0.142 0.358 0.000
Ni 0.156 0.656 0.500
Ni 0.844 0.344 0.500
Be 0.500 0.500 0.000
Be 0.000 0.000 0.000

Calculated values
- ΔE to the lowest computed polymorph: 0.151 eV per atom
- Size of the total moment: 0.0000 μB per atom
- ΔE_f: -117 kJ/mol of formula units

---

Entry 15:
Compound: Be3AlNi
Source: Alexandria via LeMat-Bulk
Functional: PBE
Structure: relaxed

Cell lengths 3.966, 3.966, 3.966 Å; angles 90.00, 90.00, 90.00 degrees
Fractional positions:
Ni 0.000 0.000 0.000
Al 0.500 0.500 0.500
Be 0.000 0.000 0.500
Be 0.500 0.000 0.000
Be 0.000 0.500 0.000

Calculated values
- ΔE to the lowest computed polymorph: 0.000 eV per atom
- Size of the total moment: 0.0000 μB per atom
- ΔE_f: 186 kJ/mol of formula units

---

Entry 16:
Compound: Be2AlNi
Source: Alexandria via LeMat-Bulk
Functional: PBE
Structure: relaxed

Cell lengths 4.309, 4.633, 2.483 Å; angles 77.11, 84.45, 116.04 degrees
Fractional positions:
Be 0.000 0.000 0.000
Ni 0.000 0.500 0.500
Al 0.500 0.500 0.000
Be 0.500 0.000 0.500

Calculated values
- Size of the total moment: 0.0000 μB per atom
- ΔE_f: -36 kJ/mol of formula units

---

Entry 17:
Compound: BeAlNi
Source: Alexandria via LeMat-Bulk
Functional: PBE
Structure: relaxed

Cell lengths 3.743, 3.743, 3.743 Å; angles 60.00, 60.00, 60.00 degrees
Fractional positions:
Ni 0.000 0.000 0.000
Be 0.750 0.750 0.750
Al 0.500 0.500 0.500

Calculated values
- ΔE to the lowest computed polymorph: 0.377 eV per atom
- Size of the total moment: 0.0000 μB per atom
- ΔE_f: -22 kJ/mol of formula units

---

Entry 18:
Compound: Be2AlNi
Source: Alexandria via LeMat-Bulk
Functional: PBE
Structure: relaxed

Cell lengths 6.407, 6.407, 5.085 Å; angles 50.95, 50.95, 90.00 degrees
Fractional positions:
Al 0.250 0.750 0.500
Be 0.875 0.920 0.750
Ni 0.000 0.000 0.000
Al 0.500 0.500 0.000
Be 0.375 0.330 0.750
Ni 0.750 0.250 0.500
Be 0.080 0.625 0.250
Be 0.670 0.125 0.250

Calculated values
- Size of the total moment: 0.0000 μB per atom
- ΔE_f: 102 kJ/mol of formula units

---

Entry 19:
Compound: Be2AlNi
Source: Alexandria via LeMat-Bulk
Functional: PBE
Structure: relaxed

Cell lengths 7.729, 7.729, 7.729 Å; angles 19.28, 19.28, 19.28 degrees
Fractional positions:
Be 0.992 0.992 0.992
Be 0.508 0.508 0.508
Ni 0.250 0.250 0.250
Al 0.750 0.750 0.750

Calculated values
- Size of the total moment: 0.0000 μB per atom
- ΔE_f: 11 kJ/mol of formula units

---

Entry 20:
Compound: Be2AlNi
Source: Alexandria via LeMat-Bulk
Functional: PBE
Structure: relaxed

Cell lengths 3.459, 3.440, 3.465 Å; angles 90.00, 90.00, 90.00 degrees
Fractional positions:
Ni 0.500 0.000 0.500
Al 0.000 0.500 0.500
Be 0.500 0.500 0.000
Be 0.000 0.000 0.000

Calculated values
- Size of the total moment: 0.0000 μB per atom
- ΔE_f: -95 kJ/mol of formula units

---

Entry 21:
Compound: BeAlNiOs
Source: Alexandria via LeMat-Bulk
Functional: PBE
Structure: relaxed

Cell lengths 4.042, 4.042, 4.042 Å; angles 60.00, 60.00, 60.00 degrees
Fractional positions:
Ni 0.750 0.750 0.750
Al 0.000 0.000 0.000
Os 0.250 0.250 0.250
Be 0.500 0.500 0.500

Calculated values
- Size of the total moment: 0.0000 μB per atom
- ΔE_f: -135 kJ/mol of formula units

---

Entry 22:
Compound: BeAlNi2P
Source: Alexandria via LeMat-Bulk
Functional: PBE
Structure: relaxed

Cell lengths 4.170, 4.492, 4.170 Å; angles 90.00, 90.00, 90.00 degrees
Fractional positions:
P 0.000 0.000 0.000
Al 0.000 0.500 0.000
Ni 0.500 0.000 0.000
Be 0.500 0.500 0.500
Ni 0.000 0.000 0.500

Calculated values
- Size of the total moment: 0.0000 μB per atom
- ΔE_f: 250 kJ/mol of formula units

---

Entry 23:
Compound: BeAlNiPd
Source: Alexandria via LeMat-Bulk
Functional: PBE
Structure: relaxed

Cell lengths 4.073, 4.073, 4.073 Å; angles 60.00, 60.00, 60.00 degrees
Fractional positions:
Ni 0.250 0.250 0.250
Be 0.500 0.500 0.500
Pd 0.750 0.750 0.750
Al 0.000 0.000 0.000

Calculated values
- Size of the total moment: 0.0001 μB per atom
- ΔE_f: -222 kJ/mol of formula units

---

Entry 24:
Compound: Pm2BeAlNi6
Source: Alexandria via LeMat-Bulk
Functional: PBE
Structure: relaxed

Cell lengths 6.059, 6.063, 6.070 Å; angles 59.90, 59.94, 90.03 degrees
Fractional positions:
Ni 0.267 0.267 0.466
Ni 0.267 0.733 0.000
Pm 0.250 0.750 0.500
Ni 0.733 0.267 0.000
Ni 0.733 0.733 0.534
Be 0.500 0.500 0.000
Pm 0.750 0.250 0.500
Ni 0.733 0.733 0.000
Al 0.000 0.000 0.000
Ni 0.267 0.267 0.000

Calculated values
- Size of the total moment: 0.0000 μB per atom
- ΔE_f: -134 kJ/mol of formula units

---

Entry 25:
Compound: Pr2BeAlNi6
Source: Alexandria via LeMat-Bulk
Functional: PBE
Structure: relaxed

Cell lengths 5.911, 6.279, 6.376 Å; angles 55.22, 61.96, 89.82 degrees
Fractional positions:
Pr 0.286 0.714 0.429
Ni 0.843 0.746 0.893
Ni 0.258 0.740 0.895
Pr 0.714 0.286 0.571
Al 0.000 0.000 0.000
Ni 0.742 0.260 0.105
Be 0.500 0.500 0.000
Ni 0.261 0.164 0.482
Ni 0.739 0.836 0.518
Ni 0.157 0.254 0.107

Calculated values
- Size of the total moment: 0.0000 μB per atom
- ΔE_f: -265 kJ/mol of formula units

---

Entry 26:
Compound: BeAlNiRh
Source: Alexandria via LeMat-Bulk
Functional: PBE
Structure: relaxed

Cell lengths 4.022, 4.022, 4.022 Å; angles 60.00, 60.00, 60.00 degrees
Fractional positions:
Rh 0.750 0.750 0.750
Al 0.000 0.000 0.000
Ni 0.250 0.250 0.250
Be 0.500 0.500 0.500

Calculated values
- ΔE to the lowest computed polymorph: 0.003 eV per atom
- Size of the total moment: 0.0000 μB per atom
- ΔE_f: -264 kJ/mol of formula units

---

Entry 27:
Compound: BeAlNiRh
Source: Alexandria via LeMat-Bulk
Functional: PBE
Structure: relaxed

Cell lengths 2.929, 3.908, 4.030 Å; angles 90.00, 90.00, 90.00 degrees
Fractional positions:
Be 0.500 0.000 0.500
Rh 0.000 0.500 0.500
Ni 0.000 0.000 0.000
Al 0.500 0.500 0.000

Calculated values
- ΔE to the lowest computed polymorph: 0.000 eV per atom
- Size of the total moment: 0.0000 μB per atom
- ΔE_f: -265 kJ/mol of formula units

---

Entry 28:
Compound: BeAl2Si2Ni5
Source: Alexandria via LeMat-Bulk
Functional: PBE
Structure: relaxed

Cell lengths 2.794, 9.212, 9.212 Å; angles 90.00, 90.00, 90.00 degrees
Fractional positions:
Be 0.000 0.000 0.000
Ni 0.500 0.480 0.301
Ni 0.500 0.199 0.020
Ni 0.500 0.980 0.199
Ni 0.500 0.301 0.520
Al 0.000 0.666 0.166
Ni 0.500 0.020 0.801
Si 0.000 0.358 0.142
Ni 0.500 0.000 0.500
Be 0.000 0.500 0.500
Al 0.000 0.166 0.334
Si 0.000 0.858 0.358
Si 0.000 0.642 0.858
Si 0.000 0.142 0.642
Al 0.000 0.334 0.834
Ni 0.500 0.801 0.980
Al 0.000 0.834 0.666
Ni 0.500 0.500 0.000
Ni 0.500 0.699 0.480
Ni 0.500 0.520 0.699

Calculated values
- Formation energy without anion corrections: -337 meV per atom
- Size of the total moment: 0.0000 μB per atom

---

The VASP energy results, record by record, are as follows: -5.013; -5.257; -5.087; -5.081; -4.746; -4.811; -4.826; -3.618; -4.382; -4.449; -4.685; -3.669; -3.657; -4.797; -3.755; -4.337; -4.493; -3.981; -4.215; -4.490; -6.469; -4.369; -5.186; -5.305; -5.446; -5.835; -5.838; -5.434 eV/atom.